1.
Ti3V, relaxed, DFT PBE-GGA; total moment = 0.0 μB per cell; energy of formation = 0.41 eV/f.u.; space-group type = Pmm2; D(E_F) = 5.757 states/eV per cell; calculated total energy = -32.397 eV/cell
1.0
4.588 0.000 0.000
0.000 2.754 0.000
0.000 0.000 5.144
Ti V
3 1
direct
0.000 0.500 0.476 Ti
0.500 0.500 0.190 Ti
0.500 0.000 0.702 Ti
0.000 0.000 0.965 V

---

2.
LiLaIn, relaxed, DFT PBE-GGA; total moment = 0.0 μB per cell; energy of formation = -0.19 eV/f.u.; space-group type = P3m1; D(E_F) = 3.091 states/eV per cell; calculated total energy = -9.765 eV/cell
1.0
-1.209 1.544 2.889
-1.369 -3.031 -1.063
5.319 -3.920 4.323
In La Li
1 1 1
direct
0.000 0.000 0.973 In
0.333 0.667 0.325 La
0.667 0.333 0.702 Li

---

3.
Th2Te5, relaxed, DFT PBE-GGA; total moment = 0.0 μB per cell; space-group type = Cmcm; D(E_F) = 8.070 states/eV per cell; calculated total energy = -74.913 eV/cell
1.0
-1.217 4.348 -0.807
-3.943 -1.446 -1.845
-8.929 -1.202 20.029
Th Te
4 10
direct
0.099 0.250 0.198 Th
0.901 0.750 0.802 Th
0.303 0.250 0.606 Th
0.697 0.750 0.394 Th
0.952 0.250 0.904 Te
0.048 0.750 0.096 Te
0.548 0.250 0.096 Te
0.452 0.750 0.904 Te
0.750 0.250 0.500 Te
0.250 0.750 0.500 Te
0.176 0.250 0.352 Te
0.824 0.750 0.648 Te
0.377 0.250 0.754 Te
0.623 0.750 0.246 Te

---

4.
Ac3CdIr, relaxed, DFT PBE-GGA; total moment = 0.0 μB per cell; energy of formation = -2.30 eV/f.u.; space-group type = Pnma; D(E_F) = 18.521 states/eV per cell; calculated total energy = -97.597 eV/cell
1.0
4.351 0.000 0.000
0.000 10.370 0.000
0.000 0.000 16.205
Ac Cd Ir
12 4 4
direct
0.750 0.216 0.285 Ac
0.250 0.668 0.993 Ac
0.250 0.016 0.106 Ac
0.250 0.516 0.394 Ac
0.250 0.168 0.507 Ac
0.750 0.484 0.606 Ac
0.250 0.284 0.785 Ac
0.750 0.984 0.894 Ac
0.750 0.332 0.007 Ac
0.750 0.716 0.215 Ac
0.750 0.832 0.493 Ac
0.250 0.784 0.715 Ac
0.250 0.942 0.326 Cd
0.750 0.058 0.674 Cd
0.750 0.558 0.826 Cd
0.250 0.442 0.174 Cd
0.250 0.665 0.555 Ir
0.750 0.335 0.445 Ir
0.750 0.835 0.055 Ir
0.250 0.165 0.945 Ir

---

5.
ScCoNiB2, relaxed, DFT PBE-GGA; total moment = 0.0 μB per cell; energy of formation = -3.00 eV/f.u.; space-group type = I-4m2; D(E_F) = 2.028 states/eV per cell; calculated total energy = -35.574 eV/cell
1.0
3.459 0.000 0.000
0.000 3.459 0.000
-1.730 -1.730 4.269
Sc Co Ni B
1 1 1 2
direct
0.000 0.000 0.000 Sc
0.750 0.250 0.500 Co
0.250 0.750 0.500 Ni
0.612 0.612 0.223 B
0.388 0.388 0.777 B

---

6.
Dy3Er2Au2, relaxed, DFT PBE-GGA; total moment = 0.0 μB per cell; energy of formation = -3.49 eV/f.u.; space-group type = C2/m; D(E_F) = 9.351 states/eV per cell; calculated total energy = -32.976 eV/cell
1.0
3.694 0.000 0.000
-1.847 6.293 -0.397
0.000 -3.377 8.461
Dy Er Au
3 2 2
direct
0.500 0.000 0.000 Dy
0.613 0.226 0.444 Dy
0.387 0.774 0.556 Dy
0.849 0.697 0.188 Er
0.151 0.303 0.812 Er
0.826 0.653 0.773 Au
0.174 0.347 0.227 Au